Record 1
# AcGaPbAu

A relaxed AcGaPbAu crystal (GGA-PBE, the Alexandria database).

```
AcGaPbAu
1.0
-0.3903 2.3432 4.7729
-4.5338 2.4196 1.4190
-3.0957 -2.1412 3.7756
Pb Ac Ga Au
1 1 1 1
Direct
0.2500 0.2500 0.2500
0.7500 0.7500 0.7500
0.5000 0.5000 0.5000
0.0000 0.0000 0.0000
```

Calculated values
* formation energy: -1.81 eV per formula unit
* SG: F-43m, No. 216
* crystal system: cubic


Record 2
# LiTl2Ir

A relaxed LiTl2Ir crystal (GGA-PBE, the Alexandria database).

```
LiTl2Ir
1.0
-0.9041 2.2408 -4.0580
-3.4033 2.5804 -2.0163
1.8187 5.2186 1.3582
Li Tl Ir
1 2 1
Direct
0.7500 0.7500 0.7500
0.5056 0.5056 0.4916
0.9944 0.9944 0.0084
0.2500 0.2500 0.2500
```

Calculated values
* formation energy: 0.69 eV per formula unit
* SG: C2/m, No. 12
* crystal system: monoclinic


Record 3
# NbCo2BMo

A relaxed NbCo2BMo crystal (GGA-PBE, the Alexandria database).

```
NbCo2BMo
1.0
4.3083 0.0000 0.0000
0.0000 4.1101 0.0000
0.0000 0.0000 4.3083
Co Nb Mo B
2 1 1 1
Direct
0.5000 0.0000 0.0000
0.0000 0.0000 0.5000
0.5000 0.5000 0.5000
0.0000 0.0000 0.0000
0.0000 0.5000 0.0000
```

Calculated values
* formation energy: 6.23 eV per formula unit
* SG: P4/mmm, No. 123
* crystal system: tetragonal


Record 4
# Ho2TmZr

A relaxed Ho2TmZr crystal (GGA-PBE, the Alexandria database).

```
Ho2TmZr
1.0
3.4416 0.0000 0.0000
1.7208 2.9805 0.0000
1.7208 0.9935 11.0776
Ho Tm Zr
2 1 1
Direct
0.0793 0.0793 0.7621
0.2539 0.2539 0.2383
0.5002 0.5002 0.4993
0.6665 0.6665 0.0004
```

Calculated values
* ΔE to the lowest computed polymorph: 0.0000 eV/atom
* formation energy: 0.27 eV per formula unit
* SG: R3m, No. 160
* crystal system: trigonal


Record 5
# VAs3Cl

A relaxed VAs3Cl crystal (GGA-PBE, the Alexandria database).

```
VAs3Cl
1.0
-1.0778 -1.0952 4.5450
-4.2677 -1.6736 -1.4153
1.9085 -4.3609 -0.5983
As V Cl
3 1 1
Direct
0.5000 0.0000 0.0000
0.0000 0.5000 0.0000
0.0000 0.0000 0.5000
0.5000 0.5000 0.5000
0.0000 0.0000 0.0000
```

Calculated values
* ΔE to the lowest computed polymorph: 1.0723 eV/atom
* raw formation energy: 1126 meV/atom
* SG: Pm-3m, No. 221
* crystal system: cubic


Record 6
# TbTl2

A relaxed TbTl2 crystal (GGA-PBE, the Alexandria database).

```
TbTl2
1.0
-1.9759 3.1212 -0.1216
-0.9188 -0.4773 -3.5481
-3.5616 -4.4465 3.5709
Tb Tl
1 2
Direct
0.5000 0.5000 0.0000
0.8318 0.8318 0.6632
0.1682 0.1682 0.3368
```

Calculated values
* formation energy: -0.42 eV per formula unit
* SG: C2/m, No. 12
* crystal system: monoclinic


Total magnetic moment: 0.00, 0.00, 0.00, 0.00, 2.46, 0.00 (μB per cell)